Arrangement w

VASP calculation (PBE) on an optimized crystal structure of MgIrBr.

a b c (Å): 3.0901 3.0901 7.2440
angles (deg): 90.00 90.00 120.00
Closest atoms and distances in Å follow each position.
Positions (direct):
Br 0.0000 0.0000 0.9373  3 Mg 2.65
Ir 0.6667 0.3333 0.3951  3 Mg 2.66
Mg 0.3333 0.6667 0.6676  3 Br 2.65, 3 Ir 2.66

Calculated values
* space group: P3m1
* size of the total moment: 0.4 μB/cell

=====

Arrangement x

VASP calculation (PBE) on an optimized crystal structure of MgIrBr.

a b c (Å): 5.4271 5.1599 8.1581
angles (deg): 90.00 90.00 90.00
Closest atoms and distances in Å follow each position.
Positions (direct):
Mg 0.8345 0.2500 0.5499  3 Br 2.66-2.95, 3 Ir 2.71-2.85
Mg 0.6655 0.7500 0.0499  3 Br 2.66-2.95, 3 Ir 2.71-2.85
Mg 0.1655 0.7500 0.4501  3 Br 2.66-2.95, 3 Ir 2.71-2.85
Mg 0.3345 0.2500 0.9501  3 Br 2.66-2.95, 3 Ir 2.71-2.85
Ir 0.1657 0.2500 0.3011  1 Br 2.55, 1 Mg 2.71, 2 Ir 2.84
Ir 0.3343 0.7500 0.8011  1 Br 2.55, 1 Mg 2.71, 2 Ir 2.84
Ir 0.8343 0.7500 0.6989  1 Br 2.55, 1 Mg 2.71, 2 Ir 2.84
Ir 0.6657 0.2500 0.1989  1 Br 2.55, 1 Mg 2.71, 2 Ir 2.84
Br 0.8477 0.2500 0.9114  1 Ir 2.55, 2 Mg 2.66-2.80
Br 0.6523 0.7500 0.4114  1 Ir 2.55, 2 Mg 2.66-2.80
Br 0.1523 0.7500 0.0886  1 Ir 2.55, 2 Mg 2.66-2.80
Br 0.3477 0.2500 0.5886  1 Ir 2.55, 2 Mg 2.66-2.80

Calculated values
* space group: Pnma
* size of the total moment: 0.0 μB/cell

=====

Energetically preferred structure: arrangement w | next structure: +133 meV per atom

=====

Arrangement w

VASP calculation (PBE) on an optimized crystal structure of MgIrBr.

a b c (Å): 4.4543 4.4543 4.4543
angles (deg): 60.00 60.00 60.00
Closest atoms and distances in Å follow each position.
Positions (direct):
Br 0.0000 0.0000 0.0000  4 Mg 2.73
Ir 0.5000 0.5000 0.5000  4 Mg 2.73
Mg 0.7500 0.7500 0.7500  4 Br 2.73, 4 Ir 2.73

Calculated values
* space group: F-43m
* size of the total moment: 0.0 μB/cell

=====

Arrangement x

VASP calculation (PBE) on an optimized crystal structure of MgIrBr.

a b c (Å): 8.4606 3.1695 8.6461
angles (deg): 90.00 90.00 90.00
Closest atoms and distances in Å follow each position.
Positions (direct):
Mg 0.9318 0.2500 0.8369  4 Ir 2.72-2.95, 2 Br 2.89
Mg 0.5682 0.7500 0.3369  4 Ir 2.72-2.95, 2 Br 2.89
Mg 0.0682 0.7500 0.1631  4 Ir 2.72-2.95, 2 Br 2.89
Mg 0.4318 0.2500 0.6631  4 Ir 2.72-2.95, 2 Br 2.89
Ir 0.3064 0.2500 0.3321  3 Br 2.48-2.68, 2 Mg 2.72
Ir 0.1936 0.7500 0.8321  3 Br 2.48-2.68, 2 Mg 2.72
Ir 0.6936 0.7500 0.6679  3 Br 2.48-2.68, 2 Mg 2.72
Ir 0.8064 0.2500 0.1679  3 Br 2.48-2.68, 2 Mg 2.72
Br 0.8271 0.2500 0.4545  3 Ir 2.48-2.68
Br 0.6729 0.7500 0.9545  3 Ir 2.48-2.68
Br 0.1729 0.7500 0.5455  3 Ir 2.48-2.68
Br 0.3271 0.2500 0.0455  3 Ir 2.48-2.68

Calculated values
* space group: Pnma
* size of the total moment: 0.0 μB/cell

=====

Energetically preferred structure: arrangement x | next structure: +518 meV per atom

=====

Arrangement w

VASP calculation (PBE) on an optimized crystal structure of MgIrBr.

a b c (Å): 4.3539 4.3539 6.6922
angles (deg): 90.00 90.00 90.00
Closest atoms and distances in Å follow each position.
Positions (direct):
Mg 0.0000 0.5000 0.8822  1 Ir 2.60
Mg 0.5000 0.0000 0.1178  1 Ir 2.60
Ir 0.0000 0.5000 0.2705  1 Mg 2.60, 4 Br 2.66
Ir 0.5000 0.0000 0.7295  1 Mg 2.60, 4 Br 2.66
Br 0.0000 0.0000 0.5000  4 Ir 2.66
Br 0.5000 0.5000 0.5000  4 Ir 2.66

Calculated values
* space group: P4/nmm
* size of the total moment: 0.0 μB/cell

=====

Arrangement x

VASP calculation (PBE) on an optimized crystal structure of MgIrBr.

a b c (Å): 4.0877 11.3200 3.9639
angles (deg): 102.50 116.01 77.89
Closest atoms and distances in Å follow each position.
Positions (direct):
Mg 0.9518 0.9161 0.0346  3 Br 2.73-2.94, 3 Ir 2.96-3.01
Mg 0.0937 0.5491 0.8704  3 Br 2.73-2.94, 3 Ir 2.96-3.01
Ir 0.6497 0.7325 0.2148  3 Ir 2.35-2.43
Ir 0.2851 0.7325 0.5615  3 Ir 2.35-2.43
Br 0.5847 0.0529 0.4570  3 Mg 2.73-2.94
Br 0.8342 0.4121 0.1716  3 Mg 2.73-2.94

Calculated values
* space group: P1
* size of the total moment: 0.0 μB/cell

=====

Arrangement y

VASP calculation (PBE) on an optimized crystal structure of MgIrBr.

a b c (Å): 4.5194 4.5194 9.3385
angles (deg): 90.00 90.00 120.00
Closest atoms and distances in Å follow each position.
Positions (direct):
Mg 0.3333 0.6667 0.2500  3 Br 2.61
Mg 0.6667 0.3333 0.7500  3 Br 2.61
Ir 0.0000 0.0000 0.0000  2 Br 2.33
Ir 0.0000 0.0000 0.5000  2 Br 2.33
Br 0.0000 0.0000 0.2500  2 Ir 2.33, 3 Mg 2.61
Br 0.0000 0.0000 0.7500  2 Ir 2.33, 3 Mg 2.61

Calculated values
* space group: P6_3/mmc
* size of the total moment: 0.0 μB/cell

=====

Arrangement z

VASP calculation (PBE) on an optimized crystal structure of MgIrBr.

a b c (Å): 4.0147 11.0355 4.2789
angles (deg): 101.00 57.73 90.38
Closest atoms and distances in Å follow each position.
Positions (direct):
Mg 0.3601 0.9178 0.7215  3 Br 2.72-2.83, 2 Ir 2.90-3.01
Mg 0.4743 0.5472 0.4791  3 Br 2.72-2.82, 2 Ir 2.90-3.01
Ir 0.0581 0.7363 0.2812  3 Ir 2.35-2.43
Ir 0.7761 0.7288 0.9189  3 Ir 2.35-2.43
Br 0.6355 0.0547 0.1505  3 Mg 2.72-2.83
Br 0.1990 0.4104 0.0495  3 Mg 2.72-2.82

Calculated values
* space group: P-1
* size of the total moment: 0.0 μB/cell

=====

Energetically preferred structure: arrangement z | next structure: +48 meV per atom

=====

Arrangement w

VASP calculation (PBE) on an optimized crystal structure of MgIrBr.

a b c (Å): 4.4285 4.4285 4.4285
angles (deg): 60.00 60.00 60.00
Closest atoms and distances in Å follow each position.
Positions (direct):
Mg 0.7500 0.7500 0.7500  4 Ir 2.71
Ir 0.5000 0.5000 0.5000  4 Br 2.71, 4 Mg 2.71
Br 0.2500 0.2500 0.2500  4 Ir 2.71

Calculated values
* space group: F-43m
* size of the total moment: 0.0 μB/cell

=====

Arrangement x

VASP calculation (PBE) on an optimized crystal structure of MgIrBr.

a b c (Å): 4.2950 4.2950 7.4361
angles (deg): 90.00 90.00 120.00
Closest atoms and distances in Å follow each position.
Positions (direct):
Mg 0.0000 0.0000 0.0000  6 Br 3.10, 6 Ir 3.10
Mg 0.0000 0.0000 0.5000  6 Br 3.10, 6 Ir 3.10
Ir 0.3333 0.6667 0.7500  3 Br 2.48
Ir 0.6667 0.3333 0.2500  3 Br 2.48
Br 0.3333 0.6667 0.2500  3 Ir 2.48
Br 0.6667 0.3333 0.7500  3 Ir 2.48

Calculated values
* space group: P6_3/mmc
* size of the total moment: 0.0 μB/cell

=====

Arrangement y

VASP calculation (PBE) on an optimized crystal structure of MgIrBr.

a b c (Å): 4.4294 4.4294 3.2195
angles (deg): 90.00 90.00 120.00
Closest atoms and distances in Å follow each position.
Positions (direct):
Br 0.0000 0.0000 0.1671  3 Ir 2.56
Ir 0.6667 0.3333 0.1672  3 Br 2.56
Mg 0.3333 0.6667 0.6657  6 Ir 3.02, 6 Br 3.02, 2 Mg 3.22

Calculated values
* space group: P-6m2
* size of the total moment: 0.0 μB/cell

=====

Arrangement z

VASP calculation (PBE) on an optimized crystal structure of MgIrBr.

a b c (Å): 6.1497 6.1497 6.1497
angles (deg): 150.74 150.74 41.86
Closest atoms and distances in Å follow each position.
Positions (direct):
Br 0.0004 0.0004 0.0000  4 Ir 3.01, 4 Mg 3.02, 4 Br 3.11
Ir 0.6796 0.6796 0.0000  4 Mg 2.73, 4 Br 3.01
Mg 0.3200 0.3200 0.0000  4 Ir 2.73, 4 Br 3.02

Calculated values
* space group: I4mm
* size of the total moment: 0.0 μB/cell

=====

Energetically preferred structure: arrangement z | next structure: +47 meV per atom

=====

Arrangement w

VASP calculation (PBE) on an optimized crystal structure of MgIrBr.

a b c (Å): 5.5774 6.0589 7.1023
angles (deg): 90.00 90.00 90.00
Closest atoms and distances in Å follow each position.
Positions (direct):
Mg 0.5748 0.2500 0.9199  2 Ir 2.60-2.88, 2 Br 2.87
Mg 0.9252 0.7500 0.4199  2 Ir 2.60-2.88, 2 Br 2.87
Mg 0.4252 0.7500 0.0801  2 Ir 2.60-2.88, 2 Br 2.87
Mg 0.0748 0.2500 0.5801  2 Ir 2.60-2.88, 2 Br 2.87
Ir 0.2993 0.2500 0.2151  2 Mg 2.60-2.88, 4 Br 2.72-2.76, 2 Ir 2.83
Ir 0.2007 0.7500 0.7151  2 Mg 2.60-2.88, 4 Br 2.72-2.76, 2 Ir 2.83
Ir 0.7007 0.7500 0.7849  2 Mg 2.60-2.88, 4 Br 2.72-2.76, 2 Ir 2.83
Ir 0.7993 0.2500 0.2849  2 Mg 2.60-2.88, 4 Br 2.72-2.76, 2 Ir 2.83
Br 0.0000 0.0000 0.0000  4 Ir 2.72-2.76, 2 Mg 2.87, 2 Br 3.03
Br 0.5000 0.5000 0.5000  4 Ir 2.72-2.76, 2 Mg 2.87, 2 Br 3.03
Br 0.5000 0.0000 0.5000  4 Ir 2.72-2.76, 2 Mg 2.87, 2 Br 3.03
Br 0.0000 0.5000 0.0000  4 Ir 2.72-2.76, 2 Mg 2.87, 2 Br 3.03

Calculated values
* space group: Pnma
* size of the total moment: 0.0 μB/cell

=====

Arrangement x

VASP calculation (PBE) on an optimized crystal structure of MgIrBr.

a b c (Å): 7.7871 7.5337 3.0144
angles (deg): 83.42 73.96 22.62
Closest atoms and distances in Å follow each position.
Positions (direct):
Br 0.0292 0.0292 0.9708  2 Mg 2.60
Ir 0.3030 0.3030 0.6970  2 Mg 2.56
Mg 0.6677 0.6677 0.3323  2 Ir 2.56, 2 Br 2.60

Calculated values
* space group: Fmm2
* size of the total moment: 0.0 μB/cell

=====

Energetically preferred structure: arrangement x | next structure: +113 meV per atom

=====

Arrangement w

VASP calculation (PBE) on an optimized crystal structure of Mn2IrBr.

a b c (Å): 8.1043 8.1043 8.1043
angles (deg): 22.82 22.82 22.82
Closest atoms and distances in Å follow each position.
Positions (direct):
Br 0.2500 0.2500 0.2500  6 Mn 2.79
Ir 0.7500 0.7500 0.7500  6 Mn 2.63
Mn 0.0046 0.0046 0.0046  3 Ir 2.63, 3 Br 2.79
Mn 0.4954 0.4954 0.4954  3 Ir 2.63, 3 Br 2.79

Calculated values
* space group: R-3m
* size of the total moment: 8.9 μB/cell

=====

Arrangement x

VASP calculation (PBE) on an optimized crystal structure of Mn2IrBr.

a b c (Å): 3.1958 3.6217 7.1784
angles (deg): 90.33 90.00 90.00
Closest atoms and distances in Å follow each position.
Positions (direct):
Br 0.0000 0.3674 0.4829  3 Mn 2.58-2.65
Ir 0.5000 0.7134 0.9623  6 Mn 2.53-2.57
Mn 0.0000 0.2100 0.8425  4 Ir 2.56-2.57, 1 Br 2.65
Mn 0.5000 0.2092 0.2123  2 Ir 2.53-2.57, 2 Br 2.58

Calculated values
* space group: Pm
* size of the total moment: 8.5 μB/cell

=====

Energetically preferred structure: arrangement w | next structure: +24 meV per atom